Entry from Alexandria: crystalline Ac12NdY5 at its relaxed geometry (PBE).

- D(E_F) (states/eV/f.u.) = 27.6
- volume (Å³ per cell) = 733.52
- DFT total energy (eV per atom) = -4.753
- crystal system = monoclinic
- SG = No. 12
- magnetization (μB per atom) = 0.000

a = 11.535 Å, b = 11.588 Å, c = 6.693 Å
α = 106.43°, β = 90.00°, γ = 60.15°
Fractional coordinates of all 18 atoms:
Ac 0.498 0.333 0.500
Ac 0.335 0.000 0.000
Ac 0.502 0.667 0.500
Ac 0.332 0.666 0.000
Ac 0.834 0.000 0.500
Ac 0.832 0.667 0.500
Ac 0.665 0.000 0.000
Ac 0.998 0.333 0.000
Ac 0.166 0.000 0.500
Ac 0.668 0.333 0.000
Ac 0.168 0.333 0.500
Ac 0.002 0.666 0.000
Y 0.833 0.334 0.502
Y 0.667 0.666 0.000
Y 0.333 0.334 0.000
Y 0.167 0.666 0.498
Y 0.500 0.000 0.500
Nd 0.000 0.000 0.000

Entry from Alexandria: crystalline Ac3Nd2Y at its relaxed geometry (PBE).

- D(E_F) (states/eV/f.u.) = 8.6
- volume (Å³ per cell) = 476.01
- DFT total energy (eV per atom) = -4.606
- crystal system = monoclinic
- SG = No. 15
- magnetization (μB per atom) = 0.000

a = 7.158 Å, b = 9.518 Å, c = 7.158 Å
α = 82.63°, β = 84.02°, γ = 97.37°
Fractional coordinates of all 12 atoms:
Nd 0.618 0.881 0.885
Nd 0.382 0.119 0.115
Nd 0.115 0.381 0.382
Nd 0.885 0.619 0.618
Ac 0.558 0.250 0.558
Ac 0.700 0.521 0.136
Ac 0.136 0.979 0.700
Ac 0.864 0.021 0.300
Ac 0.300 0.479 0.864
Ac 0.442 0.750 0.442
Y 0.116 0.750 0.116
Y 0.884 0.250 0.884

Entry from Alexandria: crystalline Ac12Nd5Y2 at its relaxed geometry (PBE).

- D(E_F) (states/eV/f.u.) = 28.7
- volume (Å³ per cell) = 787.77
- DFT total energy (eV per atom) = -4.416
- crystal system = monoclinic
- SG = No. 12
- magnetization (μB per atom) = 0.000

a = 6.670 Å, b = 11.515 Å, c = 11.515 Å
α = 66.15°, β = 79.00°, γ = 79.00°
Fractional coordinates of all 19 atoms:
Nd 0.565 0.786 0.786
Nd 0.858 0.314 0.314
Nd 0.500 0.000 0.000
Nd 0.142 0.686 0.686
Nd 0.435 0.214 0.214
Ac 0.983 0.108 0.108
Ac 0.725 0.561 0.561
Ac 0.627 0.652 0.145
Ac 0.275 0.439 0.439
Ac 0.203 0.064 0.544
Ac 0.797 0.456 0.936
Ac 0.373 0.855 0.348
Ac 0.797 0.936 0.456
Ac 0.373 0.348 0.855
Ac 0.627 0.145 0.652
Ac 0.203 0.544 0.064
Ac 0.017 0.892 0.892
Y 0.000 0.242 0.758
Y 0.000 0.758 0.242

Entry from Alexandria: crystalline Ac12NdY7 at its relaxed geometry (PBE).

- D(E_F) (states/eV/f.u.) = 35.0
- volume (Å³ per cell) = 879.34
- DFT total energy (eV per atom) = -4.655
- crystal system = trigonal
- SG = No. 148
- magnetization (μB per atom) = 0.002

a = 7.120 Å, b = 12.176 Å, c = 12.176 Å
α = 63.70°, β = 78.76°, γ = 101.24°
Fractional coordinates of all 20 atoms:
Ac 0.178 0.642 0.179
Ac 0.737 0.576 0.529
Ac 0.822 0.358 0.821
Ac 0.536 0.179 0.642
Ac 0.733 0.471 0.106
Ac 0.464 0.821 0.358
Ac 0.358 0.179 0.179
Ac 0.263 0.424 0.471
Ac 0.642 0.821 0.821
Ac 0.267 0.529 0.894
Ac 0.839 0.106 0.424
Ac 0.161 0.894 0.576
Y 0.995 0.113 0.702
Y 0.500 0.000 0.000
Y 0.118 0.815 0.887
Y 0.005 0.887 0.298
Y 0.882 0.185 0.113
Y 0.303 0.298 0.815
Y 0.697 0.702 0.185
Nd 0.000 0.000 0.000

Entry from Alexandria: crystalline Ac8Nd2Y at its relaxed geometry (PBE).

- D(E_F) (states/eV/f.u.) = 15.3
- volume (Å³ per cell) = 514.16
- DFT total energy (eV per atom) = -4.072
- crystal system = monoclinic
- SG = No. 12
- magnetization (μB per atom) = 0.000

a = 6.322 Å, b = 9.164 Å, c = 9.164 Å
α = 87.19°, β = 79.80°, γ = 79.80°
Fractional coordinates of all 11 atoms:
Ac 0.202 0.859 0.343
Ac 0.202 0.343 0.859
Ac 0.798 0.141 0.657
Ac 0.291 0.416 0.416
Ac 0.709 0.584 0.584
Ac 0.117 0.732 0.732
Ac 0.883 0.268 0.268
Ac 0.798 0.657 0.141
Y 0.000 0.000 0.000
Nd 0.516 0.871 0.871
Nd 0.484 0.129 0.129

Entry from Alexandria: crystalline AcNdY4 at its relaxed geometry (PBE).

- D(E_F) (states/eV/f.u.) = 9.2
- volume (Å³ per cell) = 414.62
- DFT total energy (eV per atom) = -5.765
- crystal system = monoclinic
- SG = No. 15
- magnetization (μB per atom) = 0.000

a = 6.351 Å, b = 6.351 Å, c = 12.418 Å
α = 75.30°, β = 75.30°, γ = 59.98°
Fractional coordinates of all 12 atoms:
Ac 0.000 0.500 0.000
Ac 0.500 0.000 0.500
Y 0.833 0.336 0.498
Y 0.250 0.421 0.250
Y 0.664 0.167 0.002
Y 0.579 0.750 0.250
Y 0.421 0.250 0.750
Y 0.167 0.664 0.502
Y 0.750 0.579 0.750
Y 0.336 0.833 0.998
Nd 0.921 0.079 0.250
Nd 0.079 0.921 0.750

Entry from Alexandria: crystalline Ac2Nd4Y7 at its relaxed geometry (PBE).

- D(E_F) (states/eV/f.u.) = 20.7
- volume (Å³ per cell) = 463.62
- DFT total energy (eV per atom) = -5.392
- crystal system = trigonal
- SG = No. 162
- magnetization (μB per atom) = 0.000

a = 6.266 Å, b = 6.266 Å, c = 13.634 Å
α = 90.00°, β = 90.00°, γ = 120.00°
Fractional coordinates of all 13 atoms:
Nd 0.000 0.000 0.606
Nd 0.333 0.667 0.500
Nd 0.667 0.333 0.500
Nd 0.000 0.000 0.394
Y 0.000 0.647 0.783
Y 0.647 0.000 0.783
Y 0.000 0.353 0.217
Y 0.000 0.000 0.000
Y 0.353 0.353 0.783
Y 0.647 0.647 0.217
Y 0.353 0.000 0.217
Ac 0.333 0.667 0.000
Ac 0.667 0.333 0.000

Entry from Alexandria: crystalline Ac3Nd2Y2 at its relaxed geometry (PBE).

- D(E_F) (states/eV/f.u.) = 11.5
- volume (Å³ per cell) = 269.12
- DFT total energy (eV per atom) = -4.917
- crystal system = orthorhombic
- SG = No. 65
- magnetization (μB per atom) = 0.000

a = 5.685 Å, b = 3.742 Å, c = 12.966 Å
α = 90.00°, β = 77.33°, γ = 90.00°
Fractional coordinates of all 7 atoms:
Ac 0.153 0.000 0.694
Ac 0.000 0.000 0.000
Ac 0.847 0.000 0.306
Y 0.715 0.500 0.571
Y 0.285 0.500 0.429
Nd 0.573 0.500 0.854
Nd 0.427 0.500 0.146

Entry from Alexandria: crystalline Ac3Nd2Y8 at its relaxed geometry (PBE).

- D(E_F) (states/eV/f.u.) = 26.0
- volume (Å³ per cell) = 485.71
- DFT total energy (eV per atom) = -5.365
- crystal system = monoclinic
- SG = No. 12
- magnetization (μB per atom) = 0.000

a = 5.795 Å, b = 8.071 Å, c = 11.141 Å
α = 111.24°, β = 90.06°, γ = 90.00°
Fractional coordinates of all 13 atoms:
Y 0.499 0.591 0.774
Y 0.501 0.409 0.226
Y 0.999 0.326 0.652
Y 0.999 0.137 0.274
Y 0.501 0.817 0.226
Y 0.001 0.674 0.348
Y 0.499 0.183 0.774
Y 0.001 0.863 0.726
Nd 0.498 0.240 0.480
Nd 0.502 0.760 0.520
Ac 0.000 0.711 0.000
Ac 0.000 0.289 0.000
Ac 0.500 0.000 0.000

Entry from Alexandria: crystalline Ac2Nd3Y5 at its relaxed geometry (PBE).

- D(E_F) (states/eV/f.u.) = 16.9
- volume (Å³ per cell) = 739.23
- DFT total energy (eV per atom) = -5.278
- crystal system = monoclinic
- SG = No. 15
- magnetization (μB per atom) = 0.000

a = 11.638 Å, b = 10.047 Å, c = 12.373 Å
α = 132.72°, β = 134.86°, γ = 54.61°
Fractional coordinates of all 20 atoms:
Nd 0.722 0.437 0.253
Nd 0.031 0.817 0.253
Nd 0.969 0.183 0.747
Nd 0.278 0.563 0.747
Nd 0.248 0.998 0.996
Nd 0.752 0.002 0.004
Y 0.034 0.284 0.568
Y 0.966 0.716 0.432
Y 0.222 0.438 0.257
Y 0.750 0.500 0.001
Y 0.778 0.562 0.743
Y 0.250 0.500 0.999
Y 0.466 0.181 0.743
Y 0.535 0.285 0.570
Y 0.465 0.715 0.430
Y 0.534 0.819 0.257
Ac 0.151 0.141 0.291
Ac 0.640 0.150 0.291
Ac 0.360 0.850 0.709
Ac 0.849 0.859 0.709

Entry from Alexandria: crystalline Ac3Nd2Y5 at its relaxed geometry (PBE).

- D(E_F) (states/eV/f.u.) = 15.6
- volume (Å³ per cell) = 727.34
- DFT total energy (eV per atom) = -5.374
- crystal system = triclinic
- SG = No. 2
- magnetization (μB per atom) = 0.000

a = 9.844 Å, b = 9.810 Å, c = 9.840 Å
α = 106.82°, β = 106.80°, γ = 114.85°
Fractional coordinates of all 20 atoms:
Nd 0.723 0.673 0.649
Nd 0.523 0.079 0.842
Nd 0.277 0.327 0.351
Nd 0.477 0.921 0.158
Y 0.074 0.723 0.547
Y 0.226 0.176 0.649
Y 0.575 0.230 0.552
Y 0.018 0.570 0.846
Y 0.982 0.430 0.154
Y 0.327 0.481 0.053
Y 0.673 0.519 0.947
Y 0.926 0.277 0.453
Y 0.425 0.770 0.448
Y 0.774 0.824 0.351
Ac 0.872 0.129 0.746
Ac 0.629 0.377 0.251
Ac 0.177 0.023 0.945
Ac 0.128 0.871 0.254
Ac 0.371 0.623 0.749
Ac 0.823 0.977 0.055

Entry from Alexandria: crystalline AcNd8Y4 at its relaxed geometry (PBE).

- D(E_F) (states/eV/f.u.) = 22.7
- volume (Å³ per cell) = 511.97
- DFT total energy (eV per atom) = -4.744
- crystal system = trigonal
- SG = No. 166
- magnetization (μB per atom) = 0.000

a = 8.000 Å, b = 8.000 Å, c = 8.000 Å
α = 90.12°, β = 90.12°, γ = 90.12°
Fractional coordinates of all 13 atoms:
Ac 0.500 0.500 0.500
Y 0.000 0.500 0.500
Y 0.500 0.500 0.000
Y 0.500 0.000 0.500
Y 0.000 0.000 0.000
Nd 0.764 0.238 0.764
Nd 0.238 0.764 0.764
Nd 0.236 0.236 0.762
Nd 0.762 0.236 0.236
Nd 0.237 0.237 0.237
Nd 0.763 0.763 0.763
Nd 0.764 0.764 0.238
Nd 0.236 0.762 0.236

| no. | formation energy (eV per atom) | density (g cm⁻³) |
| --- | --- | --- |
| 1 | 0.047 | 7.50 |
| 2 | 0.115 | 7.38 |
| 3 | 0.114 | 7.64 |
| 4 | 0.311 | 6.59 |
| 5 | 0.370 | 7.08 |
| 6 | 0.024 | 5.82 |
| 7 | 0.188 | 5.92 |
| 8 | 0.053 | 7.08 |
| 9 | 0.294 | 5.75 |
| 10 | 0.206 | 5.98 |
| 11 | 0.044 | 6.46 |
| 12 | 0.495 | 5.63 |